Computed, not measured: a relaxed structure of Cs2AcLaS4 at the PBE-GGA level of DFT.

Summary:
Fermi-level density of states: 0.0 states/eV/cell
total magnetic moment: 0.00 μB per formula unit
ρ: 4.60 Mg/m³

a = 7.658 Å, b = 4.423 Å, c = 8.488 Å
α = 90.00°, β = 107.46°, γ = 90.00°
Space group P2/m (No. 10)
Symmetry-distinct sites (fractional):
Cs: 0.000 0.000 0.000 (multiplicity 1)
Cs: 0.500 0.500 0.000 (multiplicity 1)
Ac: 0.000 0.500 0.500 (multiplicity 1)
La: 0.500 0.000 0.500 (multiplicity 1)
S: 0.237 0.000 0.691 (multiplicity 2)
S: 0.277 0.500 0.313 (multiplicity 2)


Computed, not measured: a relaxed structure of Cs4Ac3LaS8 at the PBE-GGA level of DFT.

Summary:
Fermi-level density of states: 0.0 states/eV/cell
total magnetic moment: 0.00 μB per formula unit
ρ: 4.79 Mg/m³

a = 8.9132 Å, b = 8.9132 Å, c = 24.3292 Å
α = 90.00°, β = 90.00°, γ = 120.00°
Space group R-3m (No. 166, hexagonal axes)
Symmetry-distinct sites (fractional):
Cs: 0.0000 0.0000 0.0000 (multiplicity 3)
Cs: 0.0000 0.5000 0.0000 (multiplicity 9)
Ac: 0.0000 0.5000 0.5000 (multiplicity 9)
La: 0.0000 0.0000 0.5000 (multiplicity 3)
S: 0.0000 0.0000 0.2310 (multiplicity 6)
S: 0.0066 0.5033 0.2298 (multiplicity 18)


Energy relative to the elements, uncorrected readings, ordered: -1.8775 -1.8745 eV per atom